Material: SrReS2N
Method: DFT, GGA-PBE
State: optimized geometry

Cell: 5.5254 5.5254 4.6923 Å, 90.00 90.00 90.00°
Fractional positions:
Sr  0.0000  0.0000  0.0000
Re  0.5000  0.5000  0.5000
S  0.0000  0.5000  0.0000
S  0.5000  0.0000  0.0000
N  0.0000  0.0000  0.5000

Results
Energy above the most stable polymorph in this dataset in meV per atom: 2478
Raw formation energy in eV/atom: 1.82
E in eV per cell: -21.61

=====

Material: TaReS2N
Method: DFT, GGA-PBE
State: optimized geometry

Cell: 4.7823 4.7823 3.6828 Å, 90.00 90.00 90.00°
Fractional positions:
Ta  0.0000  0.0000  0.0000
Re  0.5000  0.5000  0.5000
S  0.0000  0.5000  0.5000
S  0.5000  0.0000  0.5000
N  0.5000  0.5000  0.0000

Results
Energy above the most stable polymorph in this dataset in meV per atom: 0
Raw formation energy in eV/atom: 0.68
E in eV per cell: -37.48

=====

Material: TaReS2N
Method: DFT, GGA-PBE
State: optimized geometry

Cell: 4.8975 4.8975 3.8738 Å, 90.00 90.00 90.00°
Fractional positions:
Ta  0.0000  0.0000  0.0000
Re  0.5000  0.5000  0.5000
S  0.0000  0.5000  0.0000
S  0.5000  0.0000  0.0000
N  0.0000  0.0000  0.5000

Results
Energy above the most stable polymorph in this dataset in meV per atom: 129
Raw formation energy in eV/atom: 0.81
E in eV per cell: -36.83

=====

Material: ReTcS2N
Method: DFT, GGA-PBE
State: optimized geometry

Cell: 4.8035 4.8035 3.7295 Å, 90.00 90.00 90.00°
Fractional positions:
Re  0.0000  0.0000  0.0000
Tc  0.5000  0.5000  0.5000
S  0.0000  0.5000  0.0000
S  0.5000  0.0000  0.0000
N  0.0000  0.0000  0.5000

Results
Energy above the most stable polymorph in this dataset in meV per atom: 0
Raw formation energy in eV/atom: 0.78
E in eV per cell: -35.51

=====

Number 1: calculated volume 28.65 A^3/atom. Number 2: calculated volume 16.85 A^3/atom. Number 3: calculated volume 18.58 A^3/atom. Number 4: calculated volume 17.21 A^3/atom.